The following is a PBE calculation of RePb4 after structural relaxation, from Alexandria via LeMat-Bulk.

Geometry as CIF:
```
data_RePb4
_chemical_formula_sum 'Re2 Pb8'
_symmetry_space_group_name_H-M 'I 4/m m m'
_symmetry_Int_Tables_number 139
_symmetry_space_group_name_Hall '-I 4 2'
_cell_length_a 4.176
_cell_length_b 4.176
_cell_length_c 17.641
_cell_angle_alpha 90.00
_cell_angle_beta 90.00
_cell_angle_gamma 90.00
loop_
_atom_site_label
_atom_site_fract_x
_atom_site_fract_y
_atom_site_fract_z
Re1 0.000 0.000 0.000
Pb1 0.000 0.000 0.414
Pb2 0.000 0.500 0.250
```

Results
- calculated volume (A^3/atom) = 30.8
- magnetization (μB per formula unit) = 3.09
- calculated density (kg/m3) = 10958
- energy above the most stable polymorph in this dataset (meV/atom) = 514